Entry 1:
The following is a DFT calculation (GGA-PBE) of an optimized crystal structure of Mg2MnNi.

Cell: 7.203 7.203 5.376 Å, 90.00 90.00 90.00°
Space group I-42d (No. 122)
Asymmetric unit:
Mg: 0.215 0.250 0.125 x8
Mn: 0.000 0.000 0.500 x4
Ni: 0.000 0.000 0.000 x4

Output
The value obtained for the calculated density is 3.86 g/cm³. As for the crystal system: tetragonal. For the calculated total energy, the calculation gives -4.13 eV per atom.

Entry 2:
The following is a DFT calculation (GGA-PBE) of an optimized crystal structure of MgMnNi.

Cell: 5.890 5.890 5.890 Å, 90.00 90.00 90.00°
Space group F-43m (No. 216)
Asymmetric unit:
Mg: 0.000 0.000 0.000 x4
Mn: 0.000 0.000 0.500 x4
Ni: 0.250 0.250 0.750 x4

Output
The value obtained for the calculated density is 4.48 g/cm³. As for the crystal system: cubic. For the calculated total energy, the calculation gives -5.25 eV per atom.

Entry 3:
The following is a DFT calculation (GGA-PBE) of an optimized crystal structure of Mg2MnNi.

Cell: 6.287 6.287 6.287 Å, 90.00 90.00 90.00°
Space group Fm-3m (No. 225)
Asymmetric unit:
Mg: 0.250 0.250 0.250 x8
Mn: 0.000 0.000 0.000 x4
Ni: 0.000 0.000 0.500 x4

Output
The value obtained for the calculated density is 4.34 g/cm³. As for the crystal system: cubic. For the calculated total energy, the calculation gives -4.45 eV per atom.

Entry 4:
The following is a DFT calculation (GGA-PBE) of an optimized crystal structure of MgMnNi6.

Cell: 7.177 10.201 10.216 Å, 90.00 90.00 90.00°
Space group Cmmm (No. 65)
Asymmetric unit:
Mg: 0.000 0.000 0.249 x4
Mg: 0.000 0.248 0.500 x4
Mn: 0.000 0.247 0.000 x4
Mn: 0.000 0.500 0.250 x4
Ni: 0.000 0.000 0.000 x2
Ni: 0.000 0.000 0.500 x2
Ni: 0.000 0.253 0.245 x8
Ni: 0.000 0.500 0.000 x2
Ni: 0.000 0.500 0.500 x2
Ni: 0.245 0.376 0.372 x16
Ni: 0.246 0.374 0.122 x16

Output
The value obtained for the calculated density is 7.66 g/cm³. As for the crystal system: orthorhombic. For the calculated total energy, the calculation gives -5.77 eV per atom.